# PBE-GGA MgTaW, optimized geometry
data_MgTaW
_chemical_formula_sum 'Mg1 Ta1 W1'
_cell_length_a 7.5423
_cell_length_b 7.3793
_cell_length_c 2.8015
_cell_angle_alpha 82.47
_cell_angle_beta 75.92
_cell_angle_gamma 21.61
_space_group_name_H-M_alt 'P 1'
_space_group_IT_number 1
_space_group_name_Hall 'P 1'
loop_
_atom_site_label
_atom_site_type_symbol
_atom_site_fract_x
_atom_site_fract_y
_atom_site_fract_z
W1 W 0.6704 0.6704 0.3296
Ta1 Ta 0.3256 0.3256 0.6744
Mg1 Mg 0.0040 0.0040 0.9960
# - uncorrected energy (eV for the cell shown) = -25.68
# - energy of formation (meV per atom) = 241
# - total magnetization (μB per cell) = 0.000
# - polymorph energy (0 for the lowest one) (eV per formula unit) = 0.000

# PBE-GGA ZnGe2Pd8, optimized geometry
data_ZnGe2Pd8
_chemical_formula_sum 'Zn1 Ge2 Pd8'
_cell_length_a 4.0577
_cell_length_b 7.0249
_cell_length_c 7.1983
_cell_angle_alpha 119.21
_cell_angle_beta 106.37
_cell_angle_gamma 90.00
_space_group_name_H-M_alt 'P 1'
_space_group_IT_number 1
_space_group_name_Hall 'P 1'
loop_
_atom_site_label
_atom_site_type_symbol
_atom_site_fract_x
_atom_site_fract_y
_atom_site_fract_z
Pd1 Pd 0.6631 0.8859 0.3261
Pd2 Pd 0.8574 0.8574 0.7147
Pd3 Pd 0.6631 0.4402 0.3262
Pd4 Pd 0.3369 0.5598 0.6738
Pd5 Pd 0.3369 0.1141 0.6739
Pd6 Pd 0.0000 0.3057 0.0000
Ge1 Ge 0.8141 0.3141 0.6283
Zn1 Zn 0.5000 0.0000 0.0000
Ge2 Ge 0.1859 0.6859 0.3717
Pd7 Pd 0.1426 0.1426 0.2853
Pd8 Pd 0.0000 0.6943 0.0000
# - uncorrected energy (eV for the cell shown) = -56.70
# - energy of formation (meV per atom) = -422
# - total magnetization (μB per cell) = 0.000
# - polymorph energy (0 for the lowest one) (eV per formula unit) = 0.000

# PBE-GGA PrAs2Pt4, optimized geometry
data_PrAs2Pt4
_chemical_formula_sum 'Pr2 As4 Pt8'
_cell_length_a 4.0498
_cell_length_b 7.9374
_cell_length_c 7.9374
_cell_angle_alpha 90.00
_cell_angle_beta 90.00
_cell_angle_gamma 90.00
_space_group_name_H-M_alt 'P 1'
_space_group_IT_number 1
_space_group_name_Hall 'P 1'
loop_
_atom_site_label
_atom_site_type_symbol
_atom_site_fract_x
_atom_site_fract_y
_atom_site_fract_z
Pt1 Pt 0.0000 0.9058 0.6570
Pt2 Pt 0.0000 0.6570 0.9058
As1 As 0.0000 0.2135 0.7865
As2 As 0.5000 0.2865 0.2865
Pr1 Pr 0.0000 0.5000 0.5000
Pt3 Pt 0.5000 0.5942 0.1570
Pt4 Pt 0.5000 0.4058 0.8430
Pr2 Pr 0.5000 0.0000 0.0000
Pt5 Pt 0.0000 0.0942 0.3430
Pt6 Pt 0.5000 0.1570 0.5942
Pt7 Pt 0.0000 0.3430 0.0942
As3 As 0.5000 0.7135 0.7135
Pt8 Pt 0.5000 0.8430 0.4058
As4 As 0.0000 0.7865 0.2135
# - uncorrected energy (eV for the cell shown) = -85.59
# - energy of formation (meV per atom) = -650
# - total magnetization (μB per cell) = 0.000

# PBE-GGA Sn2H2Pd, optimized geometry
data_Sn2H2Pd
_chemical_formula_sum 'Sn2 H2 Pd1'
_cell_length_a 3.3538
_cell_length_b 3.3538
_cell_length_c 6.8524
_cell_angle_alpha 75.83
_cell_angle_beta 75.83
_cell_angle_gamma 90.00
_space_group_name_H-M_alt 'P 1'
_space_group_IT_number 1
_space_group_name_Hall 'P 1'
loop_
_atom_site_label
_atom_site_type_symbol
_atom_site_fract_x
_atom_site_fract_y
_atom_site_fract_z
Sn1 Sn 0.3681 0.3681 0.2638
H1 H 0.2500 0.7500 0.5000
H2 H 0.7500 0.2500 0.5000
Pd1 Pd 0.0000 0.0000 0.0000
Sn2 Sn 0.6319 0.6319 0.7362
# - uncorrected energy (eV for the cell shown) = -19.10
# - total magnetization (μB per cell) = 0.000

# PBE-GGA Dy3GaPd2, optimized geometry
data_Dy3GaPd2
_chemical_formula_sum 'Dy3 Ga1 Pd2'
_cell_length_a 3.4995
_cell_length_b 3.4995
_cell_length_c 10.7901
_cell_angle_alpha 90.00
_cell_angle_beta 90.00
_cell_angle_gamma 90.00
_space_group_name_H-M_alt 'P 1'
_space_group_IT_number 1
_space_group_name_Hall 'P 1'
loop_
_atom_site_label
_atom_site_type_symbol
_atom_site_fract_x
_atom_site_fract_y
_atom_site_fract_z
Pd1 Pd 0.5000 0.5000 0.8337
Dy1 Dy 0.0000 0.0000 0.0000
Dy2 Dy 0.0000 0.0000 0.3273
Ga1 Ga 0.5000 0.5000 0.5000
Dy3 Dy 0.0000 0.0000 0.6727
Pd2 Pd 0.5000 0.5000 0.1663
# - uncorrected energy (eV for the cell shown) = -31.96
# - energy of formation (meV per atom) = -790
# - total magnetization (μB per cell) = 0.000

# PBE-GGA RbRu3W, optimized geometry
data_RbRu3W
_chemical_formula_sum 'Rb1 Ru3 W1'
_cell_length_a 4.5889
_cell_length_b 4.5889
_cell_length_c 4.5889
_cell_angle_alpha 90.00
_cell_angle_beta 90.00
_cell_angle_gamma 90.00
_space_group_name_H-M_alt 'P 1'
_space_group_IT_number 1
_space_group_name_Hall 'P 1'
loop_
_atom_site_label
_atom_site_type_symbol
_atom_site_fract_x
_atom_site_fract_y
_atom_site_fract_z
Rb1 Rb 0.0000 0.0000 0.0000
Ru1 Ru 0.0000 0.5000 0.0000
Ru2 Ru 0.0000 0.0000 0.5000
W1 W 0.5000 0.5000 0.5000
Ru3 Ru 0.5000 0.0000 0.0000
# - uncorrected energy (eV for the cell shown) = -24.64
# - energy of formation (meV per atom) = 3422
# - total magnetization (μB per cell) = 1.458
# - polymorph energy (0 for the lowest one) (eV per formula unit) = 9.532

# PBE-GGA Tm4CoBi, optimized geometry
data_Tm4CoBi
_chemical_formula_sum 'Tm8 Co2 Bi2'
_cell_length_a 5.0254
_cell_length_b 10.9848
_cell_length_c 9.1950
_cell_angle_alpha 128.90
_cell_angle_beta 90.00
_cell_angle_gamma 103.22
_space_group_name_H-M_alt 'P 1'
_space_group_IT_number 1
_space_group_name_Hall 'P 1'
loop_
_atom_site_label
_atom_site_type_symbol
_atom_site_fract_x
_atom_site_fract_y
_atom_site_fract_z
Bi1 Bi 0.1436 0.2873 0.2230
Tm1 Tm 0.0068 0.0136 0.2590
Tm2 Tm 0.9932 0.9864 0.7410
Tm3 Tm 0.3991 0.7982 0.3538
Co1 Co 0.0839 0.1679 0.6169
Bi2 Bi 0.8564 0.7127 0.7770
Tm4 Tm 0.2320 0.4640 0.6575
Co2 Co 0.9161 0.8321 0.3831
Tm5 Tm 0.1964 0.3929 0.9803
Tm6 Tm 0.7680 0.5360 0.3425
Tm7 Tm 0.6009 0.2018 0.6462
Tm8 Tm 0.8036 0.6071 0.0197
# - uncorrected energy (eV for the cell shown) = -59.52
# - energy of formation (meV per atom) = -148
# - total magnetization (μB per cell) = 0.000
# - polymorph energy (0 for the lowest one) (eV per formula unit) = 1.387

# PBE-GGA AcCu2SiPd4, optimized geometry
data_AcCu2SiPd4
_chemical_formula_sum 'Ac1 Cu2 Si1 Pd4'
_cell_length_a 4.3149
_cell_length_b 4.3149
_cell_length_c 9.0488
_cell_angle_alpha 76.21
_cell_angle_beta 76.21
_cell_angle_gamma 60.00
_space_group_name_H-M_alt 'P 1'
_space_group_IT_number 1
_space_group_name_Hall 'P 1'
loop_
_atom_site_label
_atom_site_type_symbol
_atom_site_fract_x
_atom_site_fract_y
_atom_site_fract_z
Cu1 Cu 0.2402 0.2402 0.2795
Pd1 Pd 0.8635 0.8635 0.4095
Pd2 Pd 0.1365 0.1365 0.5905
Pd3 Pd 0.4082 0.4082 0.7755
Cu2 Cu 0.7598 0.7598 0.7205
Ac1 Ac 0.0000 0.0000 0.0000
Pd4 Pd 0.5918 0.5918 0.2245
Si1 Si 0.5000 0.5000 0.5000
# - uncorrected formation energy (eV per formula unit) = -3.9
# - uncorrected energy (eV for the cell shown) = -42.35
# - total magnetization (μB per cell) = 0.000

# PBE-GGA Zr2GeRh2, optimized geometry
data_Zr2GeRh2
_chemical_formula_sum 'Zr4 Ge2 Rh4'
_cell_length_a 7.3470
_cell_length_b 7.3470
_cell_length_c 3.3643
_cell_angle_alpha 90.00
_cell_angle_beta 90.00
_cell_angle_gamma 90.00
_space_group_name_H-M_alt 'P 1'
_space_group_IT_number 1
_space_group_name_Hall 'P 1'
loop_
_atom_site_label
_atom_site_type_symbol
_atom_site_fract_x
_atom_site_fract_y
_atom_site_fract_z
Zr1 Zr 0.1723 0.6723 0.5000
Zr2 Zr 0.3277 0.1723 0.5000
Ge1 Ge 0.5000 0.5000 0.0000
Ge2 Ge 0.0000 0.0000 0.0000
Rh1 Rh 0.1320 0.3680 0.0000
Rh2 Rh 0.3680 0.8680 0.0000
Zr3 Zr 0.8277 0.3277 0.5000
Rh3 Rh 0.6320 0.1320 0.0000
Zr4 Zr 0.6723 0.8277 0.5000
Rh4 Rh 0.8680 0.6320 0.0000
# - uncorrected energy (eV for the cell shown) = -79.63
# - energy of formation (meV per atom) = -679
# - total magnetization (μB per cell) = 0.000

# PBE-GGA Be2CrRh2, optimized geometry
data_Be2CrRh2
_chemical_formula_sum 'Be4 Cr2 Rh4'
_cell_length_a 6.3602
_cell_length_b 6.3602
_cell_length_c 2.8379
_cell_angle_alpha 90.00
_cell_angle_beta 90.00
_cell_angle_gamma 90.00
_space_group_name_H-M_alt 'P 1'
_space_group_IT_number 1
_space_group_name_Hall 'P 1'
loop_
_atom_site_label
_atom_site_type_symbol
_atom_site_fract_x
_atom_site_fract_y
_atom_site_fract_z
Be1 Be 0.1228 0.3772 0.0000
Be2 Be 0.6228 0.1228 0.0000
Be3 Be 0.3772 0.8772 0.0000
Cr1 Cr 0.0000 0.0000 0.0000
Cr2 Cr 0.5000 0.5000 0.0000
Rh1 Rh 0.1721 0.6721 0.5000
Be4 Be 0.8772 0.6228 0.0000
Rh2 Rh 0.8279 0.3279 0.5000
Rh3 Rh 0.6721 0.8279 0.5000
Rh4 Rh 0.3279 0.1721 0.5000
# - uncorrected energy (eV for the cell shown) = -67.48
# - energy of formation (meV per atom) = -392
# - total magnetization (μB per cell) = 6.855
# - polymorph energy (0 for the lowest one) (eV per formula unit) = 0.000

# PBE-GGA Mg3ScMn, optimized geometry
data_Mg3ScMn
_chemical_formula_sum 'Mg3 Sc1 Mn1'
_cell_length_a 4.9350
_cell_length_b 4.9350
_cell_length_c 4.9350
_cell_angle_alpha 90.00
_cell_angle_beta 90.00
_cell_angle_gamma 90.00
_space_group_name_H-M_alt 'P 1'
_space_group_IT_number 1
_space_group_name_Hall 'P 1'
loop_
_atom_site_label
_atom_site_type_symbol
_atom_site_fract_x
_atom_site_fract_y
_atom_site_fract_z
Mn1 Mn 0.0000 0.0000 0.0000
Sc1 Sc 0.5000 0.5000 0.5000
Mg1 Mg 0.5000 0.0000 0.0000
Mg2 Mg 0.0000 0.0000 0.5000
Mg3 Mg 0.0000 0.5000 0.0000
# - uncorrected energy (eV for the cell shown) = -17.42
# - energy of formation (meV per atom) = 573
# - total magnetization (μB per cell) = 2.439
# - polymorph energy (0 for the lowest one) (eV per formula unit) = 0.000

# PBE-GGA PuU2Ga9, optimized geometry
data_PuU2Ga9
_chemical_formula_sum 'Pu1 U2 Ga9'
_cell_length_a 4.2705
_cell_length_b 4.2705
_cell_length_c 12.8002
_cell_angle_alpha 90.00
_cell_angle_beta 90.00
_cell_angle_gamma 90.00
_space_group_name_H-M_alt 'P 1'
_space_group_IT_number 1
_space_group_name_Hall 'P 1'
loop_
_atom_site_label
_atom_site_type_symbol
_atom_site_fract_x
_atom_site_fract_y
_atom_site_fract_z
Ga1 Ga 0.5000 0.0000 0.8334
Ga2 Ga 0.5000 0.0000 0.5000
U1 U 0.0000 0.0000 0.3340
Pu1 Pu 0.0000 0.0000 0.0000
Ga3 Ga 0.5000 0.0000 0.1666
Ga4 Ga 0.0000 0.5000 0.1666
Ga5 Ga 0.0000 0.5000 0.5000
U2 U 0.0000 0.0000 0.6660
Ga6 Ga 0.0000 0.5000 0.8334
Ga7 Ga 0.5000 0.5000 0.6666
Ga8 Ga 0.5000 0.5000 0.0000
Ga9 Ga 0.5000 0.5000 0.3334
# - uncorrected energy (eV for the cell shown) = -67.54
# - energy of formation (meV per atom) = -283
# - total magnetization (μB per cell) = 10.066